[1]
DFT (PBE) results for a relaxed Cs5TcO6 crystal.

POSCAR file:
```
Cs5TcO6
1.0
3.4421 -6.0050 0.0000
3.4421 6.0050 0.0000
-2.2437 0.0000 6.2602
Cs Tc O
5 1 6
Direct
0.0000 0.0000 0.0000
0.1677 0.8323 0.5000
0.3379 0.6621 0.0000
0.6621 0.3379 0.0000
0.8323 0.1677 0.5000
0.5000 0.5000 0.5000
0.2136 0.4397 0.3227
0.3308 0.3308 0.6819
0.4397 0.2136 0.3227
0.5603 0.7864 0.6773
0.6692 0.6692 0.3181
0.7864 0.5603 0.6773
```

---

[2]
DFT (PBE) results for a relaxed Cs4TcO5 crystal.

POSCAR file:
```
Cs4TcO5
1.0
-4.3494 4.3494 3.0458
4.3494 -4.3494 3.0458
4.3494 4.3494 -3.0458
Cs Tc O
4 1 5
Direct
0.1073 0.2996 0.4069
0.2996 0.8927 0.1922
0.7004 0.1073 0.8078
0.8927 0.7004 0.5931
0.5416 0.5416 0.0000
0.2556 0.5235 0.8645
0.3911 0.2556 0.7321
0.5235 0.6590 0.2679
0.6590 0.3911 0.1355
0.8334 0.8334 0.0000
```

---

[3]
DFT (PBE) results for a relaxed CsTcO3 crystal.

POSCAR file:
```
CsTcO3
1.0
5.4204 0.0000 0.0000
0.0000 11.7215 0.0000
0.0000 0.0000 6.3771
Cs Tc O
4 4 12
Direct
0.0000 0.0000 0.0000
0.0000 0.5000 0.0000
0.5000 0.0000 0.5000
0.5000 0.5000 0.5000
0.0226 0.2500 0.4442
0.4774 0.7500 0.9442
0.5226 0.2500 0.0558
0.9774 0.7500 0.5558
0.0256 0.6205 0.4213
0.0256 0.8795 0.4213
0.1566 0.7500 0.8175
0.3434 0.2500 0.3175
0.4744 0.1205 0.9213
0.4744 0.3795 0.9213
0.5256 0.6205 0.0787
0.5256 0.8795 0.0787
0.6566 0.7500 0.6825
0.8434 0.2500 0.1825
0.9744 0.1205 0.5787
0.9744 0.3795 0.5787
```

---

[4]
DFT (PBE) results for a relaxed CsTcO3 crystal.

POSCAR file:
```
CsTcO3
1.0
3.5344 2.0406 5.4229
-3.5344 2.0406 5.4229
0.0000 -4.0812 5.4229
Cs Tc O
2 2 6
Direct
0.0000 0.0000 0.0000
0.5000 0.5000 0.5000
0.2500 0.2500 0.2500
0.7500 0.7500 0.7500
0.0042 0.2500 0.4958
0.2500 0.4958 0.0042
0.4958 0.0042 0.2500
0.5042 0.9958 0.7500
0.7500 0.5042 0.9958
0.9958 0.7500 0.5042
```

---

[5]
DFT (PBE) results for a relaxed CsTcO3 crystal.

POSCAR file:
```
CsTcO3
1.0
3.3121 0.0000 0.0000
0.0000 3.3121 0.0000
0.0000 0.0000 7.0563
Cs Tc O
1 1 3
Direct
0.0000 0.0000 0.0000
0.5000 0.5000 0.4674
0.0000 0.0000 0.6205
0.0000 0.5000 0.3262
0.5000 0.0000 0.3262
```

---

[6]
DFT (PBE) results for a relaxed Cs2Tm2TeO3 crystal.

POSCAR file:
```
Cs2Tm2TeO3
1.0
3.6248 0.0000 0.0000
-1.8124 3.1392 0.0000
0.0000 0.0000 15.1309
Cs Tm Te O
2 2 1 3
Direct
0.0000 0.0000 0.0000
0.3333 0.6667 0.5642
0.6667 0.3333 0.2281
0.6667 0.3333 0.7827
0.0000 0.0000 0.3681
0.0000 0.0000 0.7130
0.3333 0.6667 0.1686
0.3333 0.6667 0.8540
```

---

| no. | total DFT energy (no corrections) (eV/atom) |
| --- | --- |
| 1 | -5.100 |
| 2 | -5.325 |
| 3 | -6.677 |
| 4 | -6.574 |
| 5 | -5.832 |
| 6 | -5.738 |